Material: LaBe2FeW
Method: DFT, PBE
State: optimized geometry

Cell: 4.207 4.720 4.207 Å, 90.00 90.00 90.00°
Positions (direct):
Be  0.500  0.000  0.000
Be  0.000  0.000  0.500
Fe  0.000  0.000  0.000
La  0.000  0.500  0.000
W  0.500  0.500  0.500

Values from the calculation:
The space group is P4/mmm (123). As for the total energy: -27.55 eV/f.u. For the formation energy from the elements, the calculation gives 6.248 eV/f.u.

Material: Tc3Br
Method: DFT, PBE
State: optimized geometry

Cell: 4.078 2.930 5.491 Å, 73.02 90.00 90.00°
Positions (direct):
Tc  0.500  0.125  0.266
Tc  0.500  0.875  0.734
Tc  0.000  0.500  0.500
Br  0.000  0.000  0.000

Values from the calculation:
The space group is P2/m (10). For the energy above the lowest structure with this stoichiometry, the calculation gives 0.195 eV per atom. As for the total energy: -29.95 eV/f.u. For the uncorrected formation energy, the calculation gives 0.70 eV/atom.

Material: CaZr3Sc
Method: DFT, PBE
State: optimized geometry

Cell: 5.222 5.222 5.222 Å, 90.00 90.00 90.00°
Positions (direct):
Zr  0.000  0.500  0.000
Zr  0.500  0.000  0.000
Zr  0.000  0.000  0.500
Ca  0.500  0.500  0.500
Sc  0.000  0.000  0.000

Values from the calculation:
The space group is Pm-3m (221). For the energy above the lowest structure with this stoichiometry, the calculation gives 0.000 eV per atom. As for the total energy: -29.51 eV/f.u. For the formation energy from the elements, the calculation gives 4.471 eV/f.u.

- What is the formula in the second record?
  Tc3Br

Repeat the first record exactly.
Material: LaBe2FeW
Method: DFT, PBE
State: optimized geometry

Cell: 4.207 4.720 4.207 Å, 90.00 90.00 90.00°
Positions (direct):
Be  0.500  0.000  0.000
Be  0.000  0.000  0.500
Fe  0.000  0.000  0.000
La  0.000  0.500  0.000
W  0.500  0.500  0.500

Values from the calculation:
The space group is P4/mmm (123). As for the total energy: -27.55 eV/f.u. For the formation energy from the elements, the calculation gives 6.248 eV/f.u.